VASP calculation (PBE) on a geometry-optimized InNiPt2 structure.

a b c (Å): 4.8211 4.8211 4.8211
angles (deg): 130.77 130.82 72.14
Atoms (fractional coordinates):
In: 0.5001 0.5001 0.0000
Ni: 0.2499 0.7499 0.5000
Pt: 0.9999 0.9999 0.0000
Pt: 0.7500 0.2500 0.5000

Properties
The density of states at the Fermi level comes out at 1.4039 states/eV/atom. Its raw total energy is -5.40 eV/atom. Its formation enthalpy at 0 K is -23.78 kJ/mol of atoms. Its crystal system is tetragonal.